1.
A crystal of BeReHg2 relaxed with PBEsol, computed with meta-GGA SCAN.

abc: 3.017 3.017 7.076
angles: 90.00 90.00 90.00
Fractional positions:
Be 0.000 0.000 0.000
Re 0.500 0.500 0.862
Hg 0.000 0.000 0.582
Hg 0.500 0.500 0.263

Computed properties:
- space-group type = P4mm, No. 99
- final energy (eV per atom) = -52.399

2.
A crystal of ReOsPt relaxed with PBEsol, computed with meta-GGA SCAN.

abc: 5.901 5.901 5.901
angles: 90.00 90.00 90.00
Fractional positions:
Re 0.000 0.000 0.000
Re 0.000 0.500 0.500
Re 0.500 0.000 0.500
Re 0.500 0.500 0.000
Os 0.000 0.000 0.500
Os 0.000 0.500 0.000
Os 0.500 0.000 0.000
Os 0.500 0.500 0.500
Pt 0.250 0.250 0.250
Pt 0.250 0.750 0.750
Pt 0.750 0.250 0.750
Pt 0.750 0.750 0.250

Computed properties:
- space-group type = F-43m, No. 216
- energy above the most stable polymorph in this dataset (eV/atom) = 1.069
- final energy (eV per atom) = -70.020

3.
A crystal of HgMoOsSe2 relaxed with PBEsol, computed with meta-GGA SCAN.

abc: 4.704 4.704 5.377
angles: 90.00 90.00 90.00
Fractional positions:
Hg 0.000 0.000 0.000
Mo 0.000 0.000 0.500
Os 0.500 0.500 0.000
Se 0.000 0.500 0.500
Se 0.500 0.000 0.500

Computed properties:
- space-group type = P4/mmm, No. 123
- final energy (eV per atom) = -41.579

4.
A crystal of Cu2RhAu relaxed with PBEsol, computed with meta-GGA SCAN.

abc: 2.887 4.279 8.623
angles: 90.00 90.00 90.00
Fractional positions:
Cu 0.000 0.000 0.000
Cu 0.000 0.500 0.272
Cu 0.500 0.000 0.772
Cu 0.500 0.500 0.500
Rh 0.000 0.000 0.522
Rh 0.500 0.500 0.022
Au 0.000 0.500 0.752
Au 0.500 0.000 0.252

Computed properties:
- space-group type = Imm2, No. 44
- final energy (eV per atom) = -33.255

5.
A crystal of BeNiRh2 relaxed with PBEsol, computed with meta-GGA SCAN.

abc: 2.725 4.233 8.054
angles: 90.00 90.00 90.00
Fractional positions:
Be 0.000 0.000 0.000
Be 0.500 0.500 0.500
Ni 0.000 0.000 0.500
Ni 0.500 0.500 0.000
Rh 0.000 0.500 0.281
Rh 0.000 0.500 0.719
Rh 0.500 0.000 0.219
Rh 0.500 0.000 0.781

Computed properties:
- space-group type = Immm, No. 71
- final energy (eV per atom) = -22.218

6.
A crystal of KSrBi2O6 relaxed with PBEsol, computed with meta-GGA SCAN.

abc: 6.011 6.011 6.011
angles: 121.00 121.00 88.28
Fractional positions:
K 0.000 0.000 0.000
Sr 0.500 0.500 0.000
Bi 0.250 0.750 0.500
Bi 0.750 0.250 0.500
O 0.000 0.500 0.500
O 0.076 0.455 0.000
O 0.455 0.076 0.000
O 0.500 0.000 0.500
O 0.545 0.545 0.621
O 0.924 0.924 0.379

Computed properties:
- space-group type = I-42m, No. 121
- final energy (eV per atom) = -24.061

7.
A crystal of MnAlAg2 relaxed with PBEsol, computed with meta-GGA SCAN.

abc: 3.124 4.446 4.459
angles: 90.00 90.00 90.00
Fractional positions:
Mn 0.000 0.000 0.000
Al 0.500 0.500 0.000
Ag 0.000 0.500 0.500
Ag 0.500 0.000 0.500

Computed properties:
- space-group type = Pmmm, No. 47
- final energy (eV per atom) = -22.266

8.
A crystal of NiClO2 relaxed with PBEsol, computed with meta-GGA SCAN.

abc: 5.303 5.303 7.783
angles: 90.00 90.00 90.00
Fractional positions:
Ni 0.000 0.000 0.000
Ni 0.000 0.500 0.250
Ni 0.500 0.000 0.750
Ni 0.500 0.500 0.500
Cl 0.000 0.000 0.500
Cl 0.000 0.500 0.750
Cl 0.500 0.000 0.250
Cl 0.500 0.500 0.000
O 0.114 0.250 0.125
O 0.250 0.614 0.375
O 0.250 0.886 0.875
O 0.386 0.250 0.625
O 0.614 0.750 0.625
O 0.750 0.114 0.875
O 0.750 0.386 0.375
O 0.886 0.750 0.125

Computed properties:
- space-group type = I-42d, No. 122
- final energy (eV per atom) = -9.144

Number 1: total magnetization 0.000 μB per atom, V 16.098 Å³ per atom. Number 2: total magnetization 0.003 μB per atom, V 17.126 Å³ per atom. Number 3: total magnetization 0.777 μB per atom, V 23.792 Å³ per atom. Number 4: total magnetization 0.001 μB per atom, V 13.317 Å³ per atom. Number 5: total magnetization 0.308 μB per atom, V 11.613 Å³ per atom. Number 6: total magnetization 0.000 μB per atom, V 15.119 Å³ per atom. Number 7: total magnetization 0.962 μB per atom, V 15.483 Å³ per atom. Number 8: total magnetization 0.646 μB per atom, V 13.679 Å³ per atom.